Entry 1:
This record from Alexandria describes a crystal of SbPtW relaxed with PBEsol. The functional is SCAN.

abc: 2.881 4.012 9.137
angles: 90.00 90.00 90.00
Space group Imm2 (No. 44)
One atom of each set of equivalent atoms:
Sb1 0.000 0.000 0.000
Pt1 0.000 0.000 0.317
W1 0.000 0.000 0.688

Values from the calculation:
E ... -58.590 eV per atom
E above lowest polymorph ... 0.00 eV/f.u.
Density ... 15.746 g/cm³

Entry 2:
This record from Alexandria describes a crystal of SbPt2W relaxed with PBEsol. The functional is SCAN.

abc: 5.465 8.331 2.913
angles: 90.00 90.00 90.00
Space group Cmmm (No. 65)
One atom of each set of equivalent atoms:
Sb1 0.000 0.000 0.000
Pt1 0.250 0.250 0.500
W1 0.000 0.500 0.000

Values from the calculation:
E ... -61.661 eV per atom
Density ... 17.423 g/cm³

Entry 3:
This record from Alexandria describes a crystal of Sb2PtW relaxed with PBEsol. The functional is SCAN.

abc: 3.2207 3.2207 25.1002
angles: 90.00 90.00 120.00
Space group R-3m (No. 166, hexagonal axes)
One atom of each set of equivalent atoms:
Sb1 0.0000 0.0000 0.2500
Pt1 0.0000 0.0000 0.0000
W1 0.0000 0.0000 0.5000

Values from the calculation:
E ... -53.211 eV per atom
E above lowest polymorph ... 0.23 eV/f.u.
Density ... 13.751 g/cm³

Entry 4:
This record from Alexandria describes a crystal of Sb2PtW relaxed with PBEsol. The functional is SCAN.

abc: 3.0571 3.0571 30.8494
angles: 90.00 90.00 120.00
Space group R3m (No. 160, hexagonal axes)
One atom of each set of equivalent atoms:
Sb1 0.0000 0.0000 0.0000
Sb2 0.0000 0.0000 0.2146
Pt1 0.0000 0.0000 0.4729
W1 0.0000 0.0000 0.7410

Values from the calculation:
E ... -53.268 eV per atom
E above lowest polymorph ... 0.00 eV/f.u.
Density ... 12.418 g/cm³

Entry 5:
This record from Alexandria describes a crystal of SbPt2W relaxed with PBEsol. The functional is SCAN.

abc: 4.947 4.947 2.800
angles: 90.00 90.00 90.00
Space group P4/mmm (No. 123)
One atom of each set of equivalent atoms:
Sb1 0.000 0.000 0.000
Pt1 0.000 0.500 0.500
W1 0.500 0.500 0.000

Values from the calculation:
E ... -61.558 eV per atom
Density ... 16.863 g/cm³

Entry 6:
This record from Alexandria describes a crystal of SbPt2W relaxed with PBEsol. The functional is SCAN.

abc: 9.377 3.012 4.749
angles: 90.00 98.02 90.00
Space group C2/m (No. 12)
One atom of each set of equivalent atoms:
Sb1 0.000 0.000 0.000
Pt1 0.240 0.000 0.734
W1 0.000 0.500 0.500

Values from the calculation:
E ... -61.634 eV per atom
Density ... 17.397 g/cm³

Entry 7:
This record from Alexandria describes a crystal of SbPt2W relaxed with PBEsol. The functional is SCAN.

abc: 6.427 6.427 6.427
angles: 90.00 90.00 90.00
Space group F-43m (No. 216)
One atom of each set of equivalent atoms:
Sb1 0.000 0.000 0.000
Pt1 0.000 0.000 0.500
Pt2 0.250 0.250 0.250
W1 0.250 0.250 0.750

Values from the calculation:
E ... -61.567 eV per atom
Density ... 17.408 g/cm³

Entry 8:
This record from Alexandria describes a crystal of SbPtW relaxed with PBEsol. The functional is SCAN.

abc: 6.172 6.172 6.172
angles: 90.00 90.00 90.00
Space group F-43m (No. 216)
One atom of each set of equivalent atoms:
Sb1 0.000 0.000 0.000
Pt1 0.250 0.250 0.750
W1 0.250 0.250 0.250

Values from the calculation:
E ... -58.357 eV per atom
E above lowest polymorph ... 0.70 eV/f.u.
Density ... 14.143 g/cm³

Entry 9:
This record from Alexandria describes a crystal of Y2SbPt relaxed with PBEsol. The functional is SCAN.

abc: 7.085 7.085 7.085
angles: 90.00 90.00 90.00
Space group F-43m (No. 216)
One atom of each set of equivalent atoms:
Y1 0.000 0.000 0.000
Y2 0.250 0.250 0.250
Sb1 0.000 0.000 0.500
Pt1 0.250 0.250 0.750

Values from the calculation:
E ... -41.243 eV per atom
Density ... 9.239 g/cm³

Entry 10:
This record from Alexandria describes a crystal of YSb2Pt relaxed with PBEsol. The functional is SCAN.

abc: 7.134 7.134 7.134
angles: 90.00 90.00 90.00
Space group F-43m (No. 216)
One atom of each set of equivalent atoms:
Y1 0.000 0.000 0.000
Sb1 0.000 0.000 0.500
Sb2 0.250 0.250 0.750
Pt1 0.250 0.250 0.250

Values from the calculation:
E ... -43.585 eV per atom
Density ... 9.649 g/cm³

Entry 11:
This record from Alexandria describes a crystal of Y2SbPt relaxed with PBEsol. The functional is SCAN.

abc: 3.464 3.695 7.237
angles: 90.00 90.00 90.00
Space group Pmmm (No. 47)
One atom of each set of equivalent atoms:
Y1 0.000 0.000 0.229
Sb1 0.500 0.500 0.500
Pt1 0.500 0.500 0.000

Values from the calculation:
E ... -41.923 eV per atom
Density ... 8.869 g/cm³

Entry 12:
This record from Alexandria describes a crystal of YSb2Pt2 relaxed with PBEsol. The functional is SCAN.

abc: 4.283 4.283 11.988
angles: 90.00 90.00 90.00
Space group I4/mmm (No. 139)
One atom of each set of equivalent atoms:
Y1 0.000 0.000 0.000
Sb1 0.000 0.500 0.250
Pt1 0.000 0.000 0.392

Values from the calculation:
E ... -49.272 eV per atom
Density ... 10.911 g/cm³

Listing energy relative to the elements, uncorrected for the structures above in their given order: 0.457; 0.173; 0.389; 0.333; 0.275; 0.200; 0.267; 0.691; -0.458; -0.446; -1.138; -0.722 eV/atom.
Listing M_tot for the structures above in their given order: 0.00; 0.00; 0.00; 0.00; 0.00; 0.00; 0.00; 0.00; 1.26; 0.00; 0.00; 0.00 μB per formula unit.